VASP calculation (SCAN) on a PBEsol-optimized structure of Li3Co4S8.

Density of states at the Fermi level (states/eV per atom): 0.663
Uncorrected formation energy (eV/atom): -0.768
Space group: R3m, No. 160

Cell: 6.6484 6.6484 7.2801 Å, 62.83 62.83 60.00°
Positions (direct):
Li: 0.6432 0.6432 0.5707
Li: 0.1429 0.6432 0.5707
Li: 0.6432 0.1429 0.5707
S: 0.7722 0.2703 0.1854
S: 0.2279 0.2279 0.8166
S: 0.7276 0.2279 0.8166
S: 0.2703 0.7722 0.1854
S: 0.2713 0.2713 0.1861
S: 0.2279 0.7276 0.8166
S: 0.7722 0.7722 0.1854
S: 0.7297 0.7297 0.8110
Co: 0.0006 0.0006 0.9982
Co: 0.0019 0.4962 0.0057
Co: 0.4962 0.0019 0.0057
Co: 0.4962 0.4962 0.0057

=====

VASP calculation (SCAN) on a PBEsol-optimized structure of VAgP2O7.

Uncorrected formation energy (eV/atom): -2.262
Space group: P2_1/c, No. 14

Cell: 7.2948 8.0352 9.5575 Å, 90.00 111.49 90.00°
Positions (direct):
P: 0.4198 0.2566 0.0447
P: 0.1754 0.7053 0.4516
P: 0.1754 0.7947 0.9516
P: 0.5802 0.7566 0.4553
P: 0.8246 0.2053 0.0484
P: 0.4198 0.2434 0.5447
P: 0.5802 0.7434 0.9553
P: 0.8246 0.2947 0.5484
O: 0.3860 0.6543 0.4462
O: 0.1388 0.8874 0.3980
O: 0.8178 0.1912 0.8874
O: 0.6903 0.7992 0.6204
O: 0.8612 0.3874 0.1020
O: 0.6903 0.7008 0.1204
O: 0.9612 0.0816 0.1598
O: 0.4904 0.0878 0.6456
O: 0.6140 0.3457 0.5538
O: 0.1388 0.6126 0.8980
O: 0.1822 0.8088 0.1126
O: 0.8612 0.1126 0.6020
O: 0.6957 0.8638 0.8992
O: 0.3860 0.8457 0.9462
O: 0.5096 0.5878 0.8544
O: 0.1822 0.6912 0.6126
O: 0.0388 0.5816 0.3402
O: 0.6957 0.6362 0.3992
O: 0.3097 0.2008 0.3796
O: 0.4904 0.4122 0.1456
O: 0.9612 0.4184 0.6598
O: 0.5096 0.9122 0.3544
O: 0.6140 0.1543 0.0538
O: 0.0388 0.9184 0.8402
O: 0.3097 0.2992 0.8796
O: 0.8178 0.3088 0.3874
O: 0.3043 0.1362 0.1008
O: 0.3043 0.3638 0.6008
V: 0.2364 0.4940 0.7491
V: 0.7636 0.9940 0.7509
V: 0.2364 0.0060 0.2491
V: 0.7636 0.5060 0.2509
Ag: 0.1993 0.4749 0.1792
Ag: 0.8007 0.5251 0.8208
Ag: 0.1993 0.0251 0.6792
Ag: 0.8007 0.9749 0.3208

=====

VASP calculation (SCAN) on a PBEsol-optimized structure of Ca2BeAl.

Density of states at the Fermi level (states/eV per atom): 0.768
ΔH_f (0 K) (eV/atom): 0.399
Offset from the most stable computed form (meV per atom): 420
Space group: R-3m, No. 166

Cell: 3.5817 3.5817 9.4355 Å, 79.06 79.06 60.00°
Positions (direct):
Be: 0.0000 0.0000 0.0000
Ca: 0.2559 0.2559 0.2324
Ca: 0.7441 0.7441 0.7676
Al: 0.5000 0.5000 0.5000

=====

VASP calculation (SCAN) on a PBEsol-optimized structure of Si3BiSb.

Density of states at the Fermi level (states/eV per atom): 0.643
Uncorrected formation energy (eV/atom): 1.358
Space group: Pm-3m, No. 221

Cell: 5.1004 5.1004 5.1004 Å, 90.00 90.00 90.00°
Positions (direct):
Si: 0.0000 0.5000 0.0000
Si: 0.5000 0.0000 0.0000
Si: 0.0000 0.0000 0.5000
Sb: 0.0000 0.0000 0.0000
Bi: 0.5000 0.5000 0.5000

=====

VASP calculation (SCAN) on a PBEsol-optimized structure of Zr2ZnRe.

Density of states at the Fermi level (states/eV per atom): 0.732
ΔH_f (0 K) (eV/atom): -0.383
Space group: P4/mmm, No. 123

Cell: 3.3388 4.5863 4.5863 Å, 90.00 90.00 90.00°
Positions (direct):
Zr: 0.0000 0.0000 0.5000
Zr: 0.0000 0.5000 0.0000
Zn: 0.5000 0.0000 0.0000
Re: 0.5000 0.5000 0.5000

=====

VASP calculation (SCAN) on a PBEsol-optimized structure of NiAu3.

Density of states at the Fermi level (states/eV per atom): 0.590
ΔH_f (0 K) (eV/atom): 0.044
Space group: P4/mmm, No. 123

Cell: 2.9032 2.9032 7.2562 Å, 90.00 90.00 90.00°
Positions (direct):
Au: 0.0000 0.0000 0.2224
Au: 0.5000 0.5000 0.5000
Au: 0.0000 0.0000 0.7776
Ni: 0.5000 0.5000 0.0000

=====

no.,DFT total energy (eV for the cell shown)
1,-164.929
2,-552.630
3,-29.838
4,-139.095
5,-147.542
6,-223.469